No. 1
Here is a relaxed K12Na6Sr crystal from the Alexandria database. Energies are from PBE.

Calculated values
- Size of the total moment: 0.00 Bohr magnetons per cell
- Calculated volume: 60.3 Å³ per atom

Unit cell a=14.4847 b=14.4847 c=18.9153 alpha=90.00 beta=90.00 gamma=120.00
Space group R-3 (No. 148, hexagonal axes)
Unique sites:
K 0.0343 0.8423 0.3113 [18 per cell]
K 0.0552 0.2180 0.9127 [18 per cell]
Na 0.0386 0.5936 0.2002 [18 per cell]
Sr 0.0000 0.0000 0.5000 [3 per cell]

No. 2
Here is a relaxed KNa2Sr2 crystal from the Alexandria database. Energies are from PBE.

Calculated values
- Excess energy over the best structure of this formula in the dataset: 0.1066 eV per atom
- Size of the total moment: 0.00 Bohr magnetons per cell
- Calculated volume: 53.1 Å³ per atom

Unit cell a=4.4758 b=4.4758 c=26.4829 alpha=90.00 beta=90.00 gamma=90.00
Space group I4/mmm (No. 139)
Unique sites:
K 0.0000 0.0000 0.0000 [2 per cell]
Na 0.0000 0.5000 0.2500 [4 per cell]
Sr 0.0000 0.0000 0.3755 [4 per cell]

No. 3
Here is a relaxed K2Na4Sr crystal from the Alexandria database. Energies are from PBE.

Calculated values
- Size of the total moment: 0.00 Bohr magnetons per cell
- Calculated volume: 48.8 Å³ per atom

Unit cell a=25.4334 b=7.6265 c=7.1233 alpha=90.00 beta=98.72 gamma=90.00
Space group C2/c (No. 15)
Unique sites:
K 0.2006 0.1385 0.2074 [8 per cell]
Na 0.0657 0.1301 0.8337 [8 per cell]
Na 0.1345 0.4181 0.5870 [8 per cell]
Sr 0.0000 0.3502 0.2500 [4 per cell]

Record order is preserved below.
Formation energy from the elements: 0.0394, 0.1558, 0.0437 eV/atom